This record from the Alexandria database describes crystalline CuTe4Au at its relaxed geometry. The functional is PBE-GGA.

Cell and atoms, written as POSCAR:
```
CuTe4Au
1.0
0.0000 4.4269 4.4269
4.4269 0.0000 4.4269
4.4269 4.4269 0.0000
Cu Te Au
1 4 1
Cartesian
0.0000 0.0000 0.0000
5.5299 3.3239 3.3239
3.3239 5.5299 3.3239
3.3239 3.3239 5.5299
5.5299 5.5299 5.5299
2.2134 2.2134 2.2134
```

Computed properties:
Its total magnetization is 0.000 μB/f.u. For the total energy, the calculation gives -15.2 eV/f.u. As for the space-group type: F-43m, No. 216. Its uncorrected formation energy is 0.79 eV/atom.



This record from the Alexandria database describes crystalline ZnRhCl at its relaxed geometry. The functional is PBE-GGA.

Cell and atoms, written as POSCAR:
```
ZnRhCl
1.0
4.2445 0.0000 0.0000
-2.1222 3.6758 0.0000
0.0000 0.0000 3.0778
Zn Rh Cl
1 1 1
Cartesian
0.0000 0.0000 0.0000
0.0000 2.4505 1.5389
2.1222 1.2253 1.5389
```

Computed properties:
Its total magnetization is 0.000 μB/f.u. For the total energy, the calculation gives -9.9 eV/f.u. For the relative energy among the computed polymorphs, the calculation gives 21.8 kJ/mol of atoms. As for the space-group type: P-6m2, No. 187. Its uncorrected formation energy is 0.18 eV/atom.



This record from the Alexandria database describes crystalline ScTlCdI6 at its relaxed geometry. The functional is PBE-GGA.

Cell and atoms, written as POSCAR:
```
ScTlCdI6
1.0
7.6722 0.0000 0.0000
-3.8361 6.6443 0.0000
0.0000 0.0000 15.2509
Sc Tl Cd I
2 2 2 12
Cartesian
0.0000 4.4296 3.8127
3.8361 2.2148 11.4381
0.0000 0.0000 0.0000
0.0000 0.0000 7.6254
0.0000 4.4296 11.4381
3.8361 2.2148 3.8127
-1.3505 2.4900 2.1137
-2.3550 4.2297 5.5117
1.3505 2.4900 5.5117
-1.0044 6.5689 2.1137
2.8317 0.0754 9.7391
1.4811 2.4146 13.1371
2.3550 4.2297 2.1137
1.0044 6.5689 5.5117
4.8405 0.0754 13.1371
2.4856 4.1543 9.7391
6.1911 2.4146 9.7391
5.1866 4.1543 13.1371
```

Computed properties:
Its total magnetization is 0.000 μB/f.u. For the total energy, the calculation gives -26.7 eV/f.u. As for the space-group type: P-31c, No. 163. Its uncorrected formation energy is -0.87 eV/atom.